Computed, not measured: a relaxed structure of CoSi2O6 at the PBE+U level of DFT.

## Properties
- Total energy: -7.00 eV per atom
- Calculated volume: 102.8 Å³/f.u.
- Total magnetization: 3.0 μB/f.u.

Cell lengths 9.5603, 8.5934, 5.3330 Å; angles 90.00, 110.25, 90.00 degrees
With the nearest neighbours (Å) after each atom.
Space group C2 (No. 5)
Asymmetric unit:
Co 0.0000 0.0000 0.0000 [2 per cell]  4 O 1.81-2.02
Co 0.0000 0.1982 0.5000 [2 per cell]  6 O 1.86-2.00
Si 0.1995 0.5169 0.5039 [4 per cell]  4 O 1.62-1.68
Si 0.2056 0.6895 0.0139 [4 per cell]  4 O 1.62-1.67
O 0.1086 0.1794 0.8696 [4 per cell]  1 Si 1.67
O 0.1139 0.0308 0.3930 [4 per cell]  1 Si 1.68
O 0.1377 0.5978 0.2108 [4 per cell]  2 Si 1.62
O 0.1435 0.3367 0.4727 [4 per cell]  1 Si 1.63
O 0.1447 0.8694 0.9801 [4 per cell]  1 Si 1.64, 1 Co 1.81
O 0.1457 0.6139 0.7171 [4 per cell]  2 Si 1.62-1.63